1.
Entry from Alexandria via LeMat-Bulk: a crystal of ZrFeAg2 relaxed with PBEsol (SCAN).

Cell lengths 3.771, 3.771, 5.198 Å; angles 111.27, 111.27, 90.00 degrees
Last column: magnetic moment on the atom in μB.
Atoms (fractional coordinates):
Ag 0.250 0.750 0.500  -0.09
Fe 0.500 0.500 0.000  2.21
Ag 0.750 0.250 0.500  -0.09
Zr 0.000 0.000 0.000  -0.52

Total moment (μB/f.u.): 1.208
ΔH_f (0 K) (kcal/mol of atoms): 2.8
Total DFT energy (no corrections) (eV per cell): -111.07
Relative energy among the computed polymorphs (meV per atom): 0

***

2.
Entry from Alexandria via LeMat-Bulk: a crystal of Zr2FeAg relaxed with PBEsol (SCAN).

Cell lengths 3.321, 3.321, 6.449 Å; angles 90.00, 90.00, 90.00 degrees
Last column: magnetic moment on the atom in μB.
Atoms (fractional coordinates):
Zr 0.000 0.000 0.961  -0.37
Zr 0.500 0.500 0.261  0.05
Fe 0.500 0.500 0.757  2.64
Ag 0.000 0.000 0.521  -0.03

Total moment (μB/f.u.): 2.198
ΔH_f (0 K) (kcal/mol of atoms): 1.1
Total DFT energy (no corrections) (eV per cell): -110.70
Relative energy among the computed polymorphs (meV per atom): 170